DFT (PBE) results for a relaxed structure of PmZrGa2Rh2.

- energy (eV per formula unit) = -38.8
- ΔH_f (0 K) (eV per atom) = -0.79
- calculated volume (Å³/atom) = 19.30

abc: 4.4111 4.4111 6.8723
angles: 90.00 90.00 120.00
Last column: nearest neighbours and their distance in Å.
Space group P-3m1 (No. 164)
Symmetry-distinct sites (fractional):
Pm 0.0000 0.0000 0.0000 [1 per cell]  6 Ga 3.18, 6 Rh 3.35, 2 Zr 3.44
Zr 0.0000 0.0000 0.5000 [1 per cell]  6 Rh 2.84, 6 Ga 2.97
Ga 0.3333 0.6667 0.2779 [2 per cell]  4 Rh 2.56-2.79
Rh 0.3333 0.6667 0.6837 [2 per cell]  4 Ga 2.56-2.79, 3 Zr 2.84